Computed, not measured: crystalline BeWF2 at its relaxed geometry at the PBE with a Hubbard U level of DFT.

```
BeWF2
1.0
-3.211 1.340 2.077
-0.889 3.953 0.028
-3.268 1.356 -1.974
Be W F
1 1 2
direct
0.000 0.000 0.000
0.500 0.500 0.500
0.750 0.750 0.750
0.250 0.250 0.250
```

Total DFT energy (no corrections) in eV/atom: -3.7405
Crystal system: cubic
Space-group type: Fm-3m (225)
Volume in A^3/atom: 11.8